# 1
# Ce2CdIn

A geometry-optimized Ce2CdIn structure (PBE-GGA, Alexandria via LeMat-Bulk).

Computed properties:
Its total magnetization is 1.2 μB/f.u. As for the calculated density: 8.14 Mg/m³. The crystal system is orthorhombic. For the offset from the most stable computed form, the calculation gives 0.08 kJ per mole of atoms. Its formation energy is -0.2695 eV/atom.

```
data_Ce2CdIn
_chemical_formula_sum 'Ce4 Cd2 In2'
_cell_length_a 6.4326
_cell_length_b 9.8050
_cell_length_c 3.2843
_cell_angle_alpha 90.00
_cell_angle_beta 90.00
_cell_angle_gamma 90.00
_space_group_name_H-M_alt 'C m m m'
_space_group_IT_number 65
_space_group_name_Hall '-C 2 2'
loop_
_atom_site_label
_atom_site_type_symbol
_atom_site_fract_x
_atom_site_fract_y
_atom_site_fract_z
_atom_site_occupancy
Ce1 Ce 0.2500 0.2500 0.0000 1
Cd1 Cd 0.0000 0.0000 0.5000 1
In1 In 0.0000 0.5000 0.5000 1
```

---

# 2
# CrAs2

A geometry-optimized CrAs2 structure (PBE-GGA, Alexandria via LeMat-Bulk).

Computed properties:
Its total magnetization is 3.3 μB/f.u. As for the calculated density: 6.29 Mg/m³. The crystal system is tetragonal. Its formation energy is 0.2527 eV/atom.

```
data_CrAs2
_chemical_formula_sum 'Cr8 As16'
_cell_length_a 3.7197
_cell_length_b 3.7197
_cell_length_c 30.8052
_cell_angle_alpha 90.00
_cell_angle_beta 90.00
_cell_angle_gamma 90.00
_space_group_name_H-M_alt 'I 41/a m d'
_space_group_IT_number 141
loop_
_space_group_symop_operation_xyz
'x,y,z'
'-x,-y,-z'
'-y+1/4,x+3/4,z+1/4'
'y+1/4,-x+3/4,-z+1/4'
'-x+1/2,-y,z+1/2'
'x+1/2,y,-z+1/2'
'y+1/4,-x+1/4,z+3/4'
'-y+1/4,x+1/4,-z+3/4'
'x,-y,-z'
'-x,y,z'
'-y+1/4,-x+1/4,-z+3/4'
'y+1/4,x+1/4,z+3/4'
'-x+1/2,y,-z+1/2'
'x+1/2,-y,z+1/2'
'y+1/4,x+3/4,-z+1/4'
'-y+1/4,-x+3/4,z+1/4'
'x+1/2,y+1/2,z+1/2'
'-x+1/2,-y+1/2,-z+1/2'
'-y+3/4,x+1/4,z+3/4'
'y+3/4,-x+1/4,-z+3/4'
'-x,-y+1/2,z'
'x,y+1/2,-z'
'y+3/4,-x+3/4,z+1/4'
'-y+3/4,x+3/4,-z+1/4'
'x+1/2,-y+1/2,-z+1/2'
'-x+1/2,y+1/2,z+1/2'
'-y+3/4,-x+3/4,-z+1/4'
'y+3/4,x+3/4,z+1/4'
'-x,y+1/2,-z'
'x,-y+1/2,z'
'y+3/4,x+1/4,-z+3/4'
'-y+3/4,-x+1/4,z+3/4'
loop_
_atom_site_label
_atom_site_type_symbol
_atom_site_fract_x
_atom_site_fract_y
_atom_site_fract_z
_atom_site_occupancy
Cr1 Cr 0.0000 0.2500 0.3032 1
As1 As 0.0000 0.2500 0.1234 1
As2 As 0.0000 0.2500 0.7828 1
```

---

# 3
# AcGa3Au4O12

A geometry-optimized AcGa3Au4O12 structure (PBE-GGA, Alexandria via LeMat-Bulk).

Computed properties:
Its total magnetization is 1.8 μB/f.u. As for the calculated density: 8.47 Mg/m³. The crystal system is trigonal. For the formation energy without anion corrections, the calculation gives -831 meV/atom.

```
data_AcGa3Au4O12
_chemical_formula_sum 'Ac3 Ga9 Au12 O36'
_cell_length_a 10.8900
_cell_length_b 10.8900
_cell_length_c 8.1099
_cell_angle_alpha 90.00
_cell_angle_beta 90.00
_cell_angle_gamma 120.00
_space_group_name_H-M_alt 'R 3 2'
_space_group_IT_number 155
_space_group_name_Hall 'R 3 2"'
loop_
_atom_site_label
_atom_site_type_symbol
_atom_site_fract_x
_atom_site_fract_y
_atom_site_fract_z
_atom_site_occupancy
Ac1 Ac 0.0000 0.0000 0.0000 1
Ga1 Ga 0.0000 0.5834 0.0000 1
Au1 Au 0.0000 0.0000 0.5000 1
Au2 Au 0.0000 0.3906 0.5000 1
O1 O 0.0000 0.5887 0.5000 1
O2 O 0.0000 0.8114 0.5000 1
O3 O 0.0650 0.1943 0.2186 1
```

---

# 4
# Th3NiB7

A geometry-optimized Th3NiB7 structure (PBE-GGA, Alexandria via LeMat-Bulk).

Computed properties:
Its total magnetization is 0.0 μB/f.u. As for the calculated density: 9.69 Mg/m³. The crystal system is orthorhombic. Its formation energy is -0.3509 eV/atom.

```
data_Th3NiB7
_chemical_formula_sum 'Th12 Ni4 B28'
_cell_length_a 3.6227
_cell_length_b 16.3601
_cell_length_c 9.6009
_cell_angle_alpha 90.00
_cell_angle_beta 90.00
_cell_angle_gamma 90.00
_space_group_name_H-M_alt 'C m c m'
_space_group_IT_number 63
_space_group_name_Hall '-C 2c 2'
loop_
_atom_site_label
_atom_site_type_symbol
_atom_site_fract_x
_atom_site_fract_y
_atom_site_fract_z
_atom_site_occupancy
Th1 Th 0.0000 0.1051 0.0651 1
Th2 Th 0.0000 0.2437 0.7500 1
Ni1 Ni 0.0000 0.0562 0.7500 1
B1 B 0.0000 0.2771 0.0311 1
B2 B 0.0000 0.3701 0.1524 1
B3 B 0.0000 0.4708 0.7500 1
B4 B 0.0000 0.4774 0.0897 1
```

---

# 5
# AlCuRe

A geometry-optimized AlCuRe structure (PBE-GGA, Alexandria via LeMat-Bulk).

Computed properties:
Its total magnetization is 0.0 μB/f.u. As for the calculated density: 11.05 Mg/m³. The crystal system is tetragonal. For the offset from the most stable computed form, the calculation gives 23.14 kJ per mole of atoms. Its formation energy is 0.1230 eV/atom.

```
data_AlCuRe
_chemical_formula_sum 'Al2 Cu2 Re2'
_cell_length_a 2.7100
_cell_length_b 2.7100
_cell_length_c 11.3282
_cell_angle_alpha 90.00
_cell_angle_beta 90.00
_cell_angle_gamma 90.00
_space_group_name_H-M_alt 'I 4 m m'
_space_group_IT_number 107
_space_group_name_Hall 'I 4 -2'
loop_
_atom_site_label
_atom_site_type_symbol
_atom_site_fract_x
_atom_site_fract_y
_atom_site_fract_z
_atom_site_occupancy
Al1 Al 0.0000 0.0000 0.0000 1
Cu1 Cu 0.0000 0.0000 0.3420 1
Re1 Re 0.0000 0.0000 0.6721 1
```

---

# 6
# Tm2NbPd9

A geometry-optimized Tm2NbPd9 structure (PBE-GGA, Alexandria via LeMat-Bulk).

Computed properties:
Its total magnetization is 0.0 μB/f.u. As for the calculated density: 11.56 Mg/m³. The crystal system is tetragonal. Its formation energy is -0.7771 eV/atom.

```
data_Tm2NbPd9
_chemical_formula_sum 'Tm2 Nb1 Pd9'
_cell_length_a 4.0454
_cell_length_b 4.0454
_cell_length_c 12.1860
_cell_angle_alpha 90.00
_cell_angle_beta 90.00
_cell_angle_gamma 90.00
_space_group_name_H-M_alt 'P 4/m m m'
_space_group_IT_number 123
_space_group_name_Hall '-P 4 2'
loop_
_atom_site_label
_atom_site_type_symbol
_atom_site_fract_x
_atom_site_fract_y
_atom_site_fract_z
_atom_site_occupancy
Tm1 Tm 0.0000 0.0000 0.1656 1
Nb1 Nb 0.0000 0.0000 0.5000 1
Pd1 Pd 0.0000 0.5000 0.0000 1
Pd2 Pd 0.0000 0.5000 0.3442 1
Pd3 Pd 0.5000 0.5000 0.1724 1
Pd4 Pd 0.5000 0.5000 0.5000 1
```